Density functional theory data (PBE) for an optimized crystal structure of HfBe2MoH.

Values from the calculation:
Space-group type: No. 123
Total DFT energy (no corrections) (eV per atom): -3.979

Structure (extended XYZ):
```
5
Lattice="4.8060 0.0000 0.0000 0.0000 4.7701 0.0000 0.0000 0.0000 4.8060" Properties=species:S:1:pos:R:3 pbc="T T T"
H 2.4030 2.3850 2.4030
Be 2.4030 0.0000 0.0000
Be 0.0000 0.0000 2.4030
Hf 0.0000 0.0000 0.0000
Mo 0.0000 2.3850 0.0000
```

Density functional theory data (PBE) for an optimized crystal structure of Ba2CaGaO.

Values from the calculation:
Space-group type: No. 123
Total DFT energy (no corrections) (eV per atom): -3.959

Structure (extended XYZ):
```
5
Lattice="5.6966 0.0000 0.0000 0.0000 5.6966 0.0000 0.0000 0.0000 4.5988" Properties=species:S:1:pos:R:3 pbc="T T T"
Ba 2.8483 0.0000 0.0000
Ba 0.0000 2.8483 0.0000
Ca 0.0000 0.0000 2.2994
Ga 2.8483 2.8483 2.2994
O 0.0000 0.0000 0.0000
```

Density functional theory data (PBE) for an optimized crystal structure of GdHoRh2.

Values from the calculation:
E above lowest polymorph (meV per atom): 2
Space-group type: No. 123
Energy of formation (meV per atom): -844

Structure (extended XYZ):
```
4
Lattice="-2.9675 -1.3842 -0.8296 0.7951 -3.6227 3.2004 -2.2012 2.6163 3.5084" Properties=species:S:1:pos:R:3 pbc="T T T"
Gd -2.1868 -1.1953 2.9396
Rh -1.1006 1.3081 1.7542
Rh 0.3975 -1.8114 1.6002
Ho -1.4838 -0.6921 -0.4148
```

Density functional theory data (PBE) for an optimized crystal structure of Ti3HIr.

Values from the calculation:
E above lowest polymorph (meV per atom): 0
Space-group type: No. 221

Structure (extended XYZ):
```
5
Lattice="-3.0627 0.7634 -2.4961 -1.6144 -3.5778 0.8866 -2.0511 1.6761 3.0293" Properties=species:S:1:pos:R:3 pbc="T T T"
Ti -1.0255 0.8381 1.5147
Ti -1.5313 0.3817 -1.2480
Ti -0.8072 -1.7889 0.4433
H 0.0000 0.0000 0.0000
Ir -3.3641 -0.5691 0.7099
```

Density functional theory data (PBE) for an optimized crystal structure of Ce2PtRh.

Values from the calculation:
Space-group type: No. 62
Energy of formation (meV per atom): -872

Structure (extended XYZ):
```
16
Lattice="-3.1586 0.5947 4.5995 -4.6981 -1.6812 -3.0090 2.0667 -10.8191 2.8181" Properties=species:S:1:pos:R:3 pbc="T T T"
Pt -1.7604 -10.5554 1.8672
Pt -0.0148 -6.5553 2.5488
Pt -5.7752 -5.3503 1.8599
Pt -4.0297 -1.3502 2.5414
Ce -1.4648 -6.6565 4.9889
Ce -2.4207 -2.0817 0.3182
Ce -2.2912 -7.6968 1.1331
Ce -6.3346 -2.5019 1.1075
Ce -4.3252 -5.2491 -0.5802
Ce -3.3694 -9.8239 4.0905
Ce -3.4989 -4.2088 3.2755
Ce 0.5445 -9.4037 3.3012
Rh -0.9864 -9.3514 5.6658
Rh -3.9159 -7.1534 3.3698
Rh -1.8741 -4.7522 1.0388
Rh -4.8036 -2.5542 -1.2572
```

Density functional theory data (PBE) for an optimized crystal structure of Ca5PdPt2.

Values from the calculation:
Space-group type: No. 140
Energy of formation (meV per atom): -758

Structure (extended XYZ):
```
16
Lattice="-4.6307 -5.3423 3.0415 5.6896 -2.2825 4.6533 -2.6603 8.4332 1.0246" Properties=species:S:1:pos:R:3 pbc="T T T"
Ca -1.1563 -0.8551 3.1608
Ca 0.5294 -3.8124 3.8474
Ca -2.6220 4.9875 1.4540
Ca 0.0000 0.0000 0.0000
Ca -2.5635 -3.8906 5.4243
Ca 2.4277 -1.1436 5.0019
Ca -0.4451 1.6636 5.5587
Ca 0.9620 4.6991 3.2951
Ca 1.0205 -4.1791 7.2655
Ca -4.0291 1.9520 3.7175
Pt -2.1798 -3.6472 2.5058
Pt -0.4647 -6.0918 5.5745
Pt 3.2387 -3.9775 5.1890
Pt 1.5236 -1.5329 2.1203
Pd -0.5360 -1.5020 6.2834
Pd -1.0654 2.3104 2.4360
```

| no. | magnetic moment (μB/f.u.) |
| --- | --- |
| 1 | 0.1 |
| 2 | 0.0 |
| 3 | 7.0 |
| 4 | 0.0 |
| 5 | 0.7 |
| 6 | 0.0 |